Compound: SnB2Se
Source: the Alexandria database
Functional: GGA-PBE
Structure: relaxed

Structure (POSCAR):
```
SnB2Se
1.0
5.1091 0.0000 0.0000
0.0000 5.1091 0.0000
0.0000 0.0000 10.0000
Sn B Se
4 8 4
Cartesian
0.0000 0.0000 0.0000
0.0000 2.5545 2.5000
2.5545 0.0000 7.5000
2.5545 2.5545 5.0000
1.1314 1.2773 6.2500
1.2773 3.6859 8.7500
1.2773 3.9777 3.7500
1.4232 1.2773 1.2500
3.6859 3.8318 1.2500
3.8318 1.1314 3.7500
3.8318 1.4232 8.7500
3.9777 3.8318 6.2500
0.0000 0.0000 5.0000
0.0000 2.5545 7.5000
2.5545 0.0000 2.5000
2.5545 2.5545 0.0000
```

Values from the calculation:
The final energy comes out at -0.350 Ry per atom. The calculation puts the energy above the most stable polymorph in this dataset at 0 meV per atom. For the uncorrected formation energy, the calculation gives 44 kJ/mol of atoms.



Compound: Sn2BSe
Source: the Alexandria database
Functional: GGA-PBE
Structure: relaxed

Structure (POSCAR):
```
Sn2BSe
1.0
6.9567 0.0000 0.0000
0.0000 6.9567 0.0000
0.0000 0.0000 6.9567
Sn B Se
8 4 4
Cartesian
1.7392 1.7392 1.7392
1.7392 1.7392 5.2175
1.7392 5.2175 1.7392
1.7392 5.2175 5.2175
5.2175 1.7392 1.7392
5.2175 1.7392 5.2175
5.2175 5.2175 1.7392
5.2175 5.2175 5.2175
0.0000 0.0000 0.0000
0.0000 3.4784 3.4784
3.4784 0.0000 3.4784
3.4784 3.4784 0.0000
0.0000 0.0000 3.4784
0.0000 3.4784 0.0000
3.4784 0.0000 0.0000
3.4784 3.4784 3.4784
```

Values from the calculation:
The final energy comes out at -0.272 Ry per atom. The calculation puts the energy above the most stable polymorph in this dataset at 622 meV per atom. For the uncorrected formation energy, the calculation gives 81 kJ/mol of atoms.



Compound: SnBSe2
Source: the Alexandria database
Functional: GGA-PBE
Structure: relaxed

Structure (POSCAR):
```
SnBSe2
1.0
5.0508 0.0000 0.0000
-2.5254 4.3741 0.0000
0.0000 0.0000 18.2578
Sn B Se
3 3 6
Cartesian
0.0000 0.0000 0.0000
0.0000 2.9161 12.1719
2.5254 1.4580 6.0859
0.0000 0.0000 9.1289
0.0000 2.9161 3.0430
2.5254 1.4580 15.2148
0.0000 0.0000 7.2984
0.0000 0.0000 10.9594
0.0000 2.9161 1.2125
0.0000 2.9161 4.8735
2.5254 1.4580 13.3843
2.5254 1.4580 17.0453
```

Values from the calculation:
The final energy comes out at -0.303 Ry per atom. The calculation puts the energy above the most stable polymorph in this dataset at 119 meV per atom. For the uncorrected formation energy, the calculation gives 29 kJ/mol of atoms.



Compound: SnB3Se
Source: the Alexandria database
Functional: GGA-PBE
Structure: relaxed

Structure (POSCAR):
```
SnB3Se
1.0
4.1912 0.0000 0.0000
0.0000 4.1912 0.0000
0.0000 0.0000 4.1912
Sn B Se
1 3 1
Cartesian
0.0000 0.0000 0.0000
0.0000 2.0956 2.0956
2.0956 0.0000 2.0956
2.0956 2.0956 0.0000
2.0956 2.0956 2.0956
```

Values from the calculation:
The final energy comes out at -0.272 Ry per atom. The calculation puts the energy above the most stable polymorph in this dataset at 0 meV per atom. For the uncorrected formation energy, the calculation gives 173 kJ/mol of atoms.



Compound: Tl2SnBSe4
Source: the Alexandria database
Functional: GGA-PBE
Structure: relaxed

Structure (POSCAR):
```
Tl2SnBSe4
1.0
0.0000 6.4791 12.5482
3.2002 0.0000 12.5482
3.2002 6.4791 0.0000
Tl Sn B Se
4 2 2 8
Cartesian
2.4002 4.8593 1.8005
4.0003 8.0988 8.0746
2.4002 4.8593 17.0217
4.0003 8.0988 23.2958
0.8001 1.6198 3.1370
5.6004 11.3384 21.9593
2.4002 4.8593 9.4111
4.0003 8.0988 15.6852
3.5654 3.5889 8.1966
3.5654 6.1297 10.6256
5.1655 6.8285 16.8997
5.1655 9.3692 14.4707
1.2349 3.5889 10.6256
1.2349 6.1297 8.1966
2.8350 6.8285 14.4707
2.8350 9.3692 16.8997
```

Values from the calculation:
The final energy comes out at -0.284 Ry per atom. For the uncorrected formation energy, the calculation gives -19 kJ/mol of atoms.



Compound: ZrSnB2Se
Source: the Alexandria database
Functional: GGA-PBE
Structure: relaxed

Structure (POSCAR):
```
ZrSnB2Se
1.0
4.4837 0.0000 0.0000
0.0000 4.4837 0.0000
0.0000 0.0000 5.9247
Zr Sn B Se
1 1 2 1
Cartesian
0.0000 0.0000 0.0000
0.0000 0.0000 2.9624
0.0000 2.2418 0.0000
2.2418 0.0000 0.0000
2.2418 2.2418 2.9624
```

Values from the calculation:
The final energy comes out at -0.330 Ry per atom. For the uncorrected formation energy, the calculation gives 135 kJ/mol of atoms.



Compound: SrB3Se
Source: the Alexandria database
Functional: GGA-PBE
Structure: relaxed

Structure (POSCAR):
```
SrB3Se
1.0
4.3303 0.0000 0.0000
0.0000 4.3303 0.0000
0.0000 0.0000 4.3303
Sr B Se
1 3 1
Cartesian
0.0000 0.0000 0.0000
0.0000 2.1652 2.1652
2.1652 0.0000 2.1652
2.1652 2.1652 0.0000
2.1652 2.1652 2.1652
```

Values from the calculation:
The final energy comes out at -0.261 Ry per atom. The calculation puts the energy above the most stable polymorph in this dataset at 0 meV per atom. For the uncorrected formation energy, the calculation gives 143 kJ/mol of atoms.



Compound: SrB3Se
Source: the Alexandria database
Functional: GGA-PBE
Structure: relaxed

Structure (POSCAR):
```
SrB3Se
1.0
5.0504 0.0000 0.0000
0.0000 5.0504 0.0000
0.0000 0.0000 5.0504
Sr B Se
1 3 1
Cartesian
0.0000 0.0000 0.0000
0.0000 0.0000 2.5252
0.0000 2.5252 0.0000
2.5252 0.0000 0.0000
2.5252 2.5252 2.5252
```

Values from the calculation:
The final energy comes out at -0.166 Ry per atom. The calculation puts the energy above the most stable polymorph in this dataset at 1294 meV per atom. For the uncorrected formation energy, the calculation gives 268 kJ/mol of atoms.



Compound: SrB4Se7
Source: the Alexandria database
Functional: GGA-PBE
Structure: relaxed

Structure (POSCAR):
```
SrB4Se7
1.0
14.1170 0.0000 0.0000
0.0000 5.8819 0.0000
0.0000 0.0000 5.6801
Sr B Se
2 8 14
Cartesian
0.0000 1.0716 0.0000
7.0585 4.8103 2.8400
1.7401 3.9504 3.5108
3.4995 1.0232 3.4130
3.5590 4.8587 0.5730
5.3184 1.9314 0.6708
8.7986 1.9314 0.6708
10.5580 4.8587 0.5730
10.6175 1.0232 3.4130
12.3769 3.9504 3.5108
0.0000 4.8543 2.8227
1.7285 1.9575 2.9687
1.7405 4.2025 5.5715
3.4308 4.9157 2.7323
3.6277 0.9662 5.5723
5.3180 1.6794 2.7315
5.3300 3.9243 0.1287
7.0585 1.0276 5.6628
8.7870 3.9243 0.1287
8.7990 1.6794 2.7315
10.4893 0.9662 5.5723
10.6862 4.9157 2.7323
12.3765 4.2025 5.5715
12.3885 1.9575 2.9687
```

Values from the calculation:
The final energy comes out at -0.354 Ry per atom. For the uncorrected formation energy, the calculation gives -41 kJ/mol of atoms.



Compound: Sr3BSe
Source: the Alexandria database
Functional: GGA-PBE
Structure: relaxed

Structure (POSCAR):
```
Sr3BSe
1.0
5.5012 0.0000 0.0000
0.0000 5.5012 0.0000
0.0000 0.0000 5.5012
Sr B Se
3 1 1
Cartesian
0.0000 0.0000 2.7506
0.0000 2.7506 0.0000
2.7506 0.0000 0.0000
0.0000 0.0000 0.0000
2.7506 2.7506 2.7506
```

Values from the calculation:
The final energy comes out at -0.242 Ry per atom. The calculation puts the energy above the most stable polymorph in this dataset at 0 meV per atom. For the uncorrected formation energy, the calculation gives -24 kJ/mol of atoms.



Compound: SrBSe2
Source: the Alexandria database
Functional: GGA-PBE
Structure: relaxed

Structure (POSCAR):
```
SrBSe2
1.0
6.6404 0.0000 0.0000
0.0000 6.6404 0.0000
0.0000 0.0000 8.4392
Sr B Se
4 4 8
Cartesian
0.0000 0.0000 0.0000
0.0000 3.3202 2.1098
3.3202 0.0000 6.3294
3.3202 3.3202 4.2196
0.0000 0.0000 4.2196
0.0000 3.3202 6.3294
3.3202 0.0000 2.1098
3.3202 3.3202 0.0000
0.8983 1.6601 5.2745
1.6601 4.2185 7.3843
1.6601 5.7421 3.1647
2.4219 1.6601 1.0549
4.2185 4.9803 1.0549
4.9803 0.8983 3.1647
4.9803 2.4219 7.3843
5.7421 4.9803 5.2745
```

Values from the calculation:
The final energy comes out at -0.312 Ry per atom. For the uncorrected formation energy, the calculation gives -40 kJ/mol of atoms.



Compound: SrBSe2
Source: the Alexandria database
Functional: GGA-PBE
Structure: relaxed

Structure (POSCAR):
```
SrBSe2
1.0
3.5316 0.0000 0.0000
-1.7658 3.0584 0.0000
0.0000 0.0000 25.5936
Sr B Se
3 3 6
Cartesian
0.0000 0.0000 0.0000
0.0000 2.0390 17.0624
1.7658 1.0195 8.5312
0.0000 0.0000 12.7968
0.0000 2.0390 4.2656
1.7658 1.0195 21.3280
0.0000 0.0000 3.0206
0.0000 0.0000 22.5730
0.0000 2.0390 14.0418
0.0000 2.0390 20.0830
1.7658 1.0195 5.5106
1.7658 1.0195 11.5518
```

Values from the calculation:
The final energy comes out at -0.256 Ry per atom. For the uncorrected formation energy, the calculation gives 33 kJ/mol of atoms.